Entry 1:
Computed, not measured: crystalline Ir2RuPtRh5 at its relaxed geometry at the PBE level of DFT.

Computed properties:
Calculated density, g cm⁻³: 13.66
VASP energy, eV per formula unit: -64.73
V, Å³/atom: 16.148

a = 6.3408 Å, b = 6.3408 Å, c = 14.4587 Å
α = 90.00°, β = 90.00°, γ = 90.00°
With the nearest neighbours (Å) after each atom.
Space group I4/mcm (No. 140)
Unique sites:
Ir 0.1272 0.3728 0.0000 x8  1 Ir 2.28, 4 Rh 2.46-2.50
Ru 0.0000 0.0000 0.2500 x4  8 Rh 2.67
Pt 0.0000 0.5000 0.2500 x4  8 Rh 2.61-2.74
Rh 0.0000 0.0000 0.0000 x4  4 Ir 2.50
Rh 0.2418 0.2582 0.3507 x16  1 Ir 2.46, 2 Pt 2.61-2.74, 2 Ru 2.67


Entry 2:
Computed, not measured: crystalline AlAs2Ru at its relaxed geometry at the PBE level of DFT.

Computed properties:
Calculated density, g cm⁻³: 7.06
VASP energy, eV per formula unit: -22.25
V, Å³/atom: 16.344

a = 8.4400 Å, b = 3.1248 Å, c = 5.0307 Å
α = 90.00°, β = 99.76°, γ = 90.00°
With the nearest neighbours (Å) after each atom.
Space group C2/m (No. 12)
Unique sites:
Al 0.0000 0.0000 0.0000 x2  2 As 2.57
As 0.2319 0.0000 0.7297 x4  1 Al 2.57, 3 Ru 2.62-2.71, 2 As 2.85
Ru 0.0000 0.5000 0.5000 x2  6 As 2.62-2.71


Q: Which of these has the lowest VASP energy?
A: Ir2RuPtRh5


Q: What is the formula in the first record?
A: Ir2RuPtRh5


Q: Which formula does entry 1 have?
A: Ir2RuPtRh5


Q: The lowest calculated density belongs to which entry?
A: AlAs2Ru